1.
The following is a DFT calculation (GGA-PBE) of crystalline TmPaCrN4 at its relaxed geometry.

Summary:
Density of states at the Fermi level   0.57 states/eV/atom
Symmetry   No. 11

Unit cell a=5.6819 b=5.2582 c=6.5829 alpha=90.00 beta=108.30 gamma=90.00
Closest atoms and distances in Å follow each position.
Fractional coordinates of all 14 atoms:
1 Tm 0.1996 0.2500 0.4237  2 N 2.29-2.33
2 Tm 0.8004 0.7500 0.5763  2 N 2.29-2.33
3 Pa 0.2712 0.2500 0.9438  6 N 2.30-2.48
4 Pa 0.7288 0.7500 0.0562  6 N 2.30-2.48
5 Cr 0.2663 0.7500 0.2057  4 N 1.77-1.83
6 Cr 0.7337 0.2500 0.7943  4 N 1.77-1.83
7 N 0.0564 0.7500 0.3677  1 Cr 1.83
8 N 0.0711 0.7500 0.9255  1 Cr 1.83
9 N 0.4838 0.9996 0.2391  1 Cr 1.77
10 N 0.4838 0.5004 0.2391  1 Cr 1.77
11 N 0.5162 0.0004 0.7609  1 Cr 1.77
12 N 0.5162 0.4996 0.7609  1 Cr 1.77
13 N 0.9289 0.2500 0.0745  1 Cr 1.83
14 N 0.9436 0.2500 0.6323  1 Cr 1.83

2.
The following is a DFT calculation (GGA-PBE) of crystalline UPa2CrN4 at its relaxed geometry.

Summary:
Density of states at the Fermi level   0.75 states/eV/atom
Symmetry   No. 63

Unit cell a=5.9905 b=5.9905 c=11.6138 alpha=90.00 beta=90.00 gamma=148.27
Closest atoms and distances in Å follow each position.
Fractional coordinates of all 16 atoms:
1 U 0.1043 0.8957 0.7500  6 N 2.39-2.51
2 U 0.8957 0.1043 0.2500  6 N 2.39-2.51
3 Pa 0.3648 0.6352 0.5564  6 N 2.35-2.51
4 Pa 0.3648 0.6352 0.9436  6 N 2.35-2.51
5 Pa 0.6352 0.3648 0.0564  6 N 2.35-2.51
6 Pa 0.6352 0.3648 0.4436  6 N 2.35-2.51
7 Cr 0.1560 0.8440 0.2500  4 N 2.00-2.07
8 Cr 0.8440 0.1560 0.7500  4 N 2.00-2.07
9 N 0.0000 0.0000 0.0000  4 Pa 2.35
10 N 0.0000 0.0000 0.5000  4 Pa 2.35
11 N 0.2815 0.7185 0.1315  1 Cr 2.00
12 N 0.2815 0.7185 0.3685  1 Cr 2.00
13 N 0.4533 0.5467 0.7500  2 Cr 2.07
14 N 0.5467 0.4533 0.2500  2 Cr 2.07
15 N 0.7185 0.2815 0.6315  1 Cr 2.00
16 N 0.7185 0.2815 0.8685  1 Cr 2.00

3.
The following is a DFT calculation (GGA-PBE) of crystalline UPa2CrN5 at its relaxed geometry.

Summary:
Density of states at the Fermi level   0.56 states/eV/atom
Symmetry   No. 36

Unit cell a=6.8051 b=6.8051 c=10.3715 alpha=90.00 beta=90.00 gamma=151.61
Closest atoms and distances in Å follow each position.
Fractional coordinates of all 18 atoms:
1 U 0.2021 0.7979 0.5000  6 N 2.14-2.33
2 U 0.7979 0.2021 0.0000  6 N 2.14-2.33
3 Pa 0.0994 0.9006 0.1795  6 N 2.30-2.56
4 Pa 0.1462 0.8538 0.7987  5 N 2.35-2.54
5 Pa 0.8538 0.1462 0.2987  5 N 2.35-2.54
6 Pa 0.9006 0.0994 0.6795  6 N 2.30-2.56
7 Cr 0.4792 0.5208 0.9502  4 N 1.92-2.04
8 Cr 0.5208 0.4792 0.4502  4 N 1.92-2.04
9 N 0.0469 0.9531 0.5591  2 Cr 2.04, 1 U 2.14
10 N 0.2784 0.7216 0.1545  2 U 2.33, 3 Pa 2.38-2.45
11 N 0.3344 0.6656 0.8515  1 Cr 2.17, 2 U 2.32
12 N 0.3708 0.6292 0.4957  1 Cr 2.03, 1 U 2.23
13 N 0.4776 0.5224 0.2732  1 Cr 1.92
14 N 0.5224 0.4776 0.7732  1 Cr 1.92
15 N 0.6292 0.3708 0.9957  1 Cr 2.03, 1 U 2.23
16 N 0.6656 0.3344 0.3515  1 Cr 2.17, 2 U 2.32
17 N 0.7216 0.2784 0.6545  2 U 2.33, 3 Pa 2.38-2.45
18 N 0.9531 0.0469 0.0591  2 Cr 2.04, 1 U 2.14

4.
The following is a DFT calculation (GGA-PBE) of crystalline U2PaCrN4 at its relaxed geometry.

Summary:
Density of states at the Fermi level   1.10 states/eV/atom
Symmetry   No. 63

Unit cell a=5.9622 b=5.9622 c=11.3394 alpha=90.00 beta=90.00 gamma=148.07
Closest atoms and distances in Å follow each position.
Fractional coordinates of all 16 atoms:
1 U 0.1342 0.8658 0.5563  6 N 2.31-2.47
2 U 0.1342 0.8658 0.9437  6 N 2.31-2.47
3 U 0.8658 0.1342 0.0563  6 N 2.31-2.47
4 U 0.8658 0.1342 0.4437  6 N 2.31-2.47
5 Pa 0.3951 0.6049 0.7500  6 N 2.41-2.52
6 Pa 0.6049 0.3951 0.2500  6 N 2.41-2.52
7 Cr 0.3433 0.6567 0.2500  4 N 1.97-2.05
8 Cr 0.6567 0.3433 0.7500  4 N 1.97-2.05
9 N 0.0492 0.9508 0.7500  2 Cr 2.05
10 N 0.2204 0.7796 0.1280  1 Cr 1.97
11 N 0.2204 0.7796 0.3720  1 Cr 1.97
12 N 0.5000 0.5000 0.0000  4 U 2.34
13 N 0.5000 0.5000 0.5000  4 U 2.34
14 N 0.7796 0.2204 0.6280  1 Cr 1.97
15 N 0.7796 0.2204 0.8720  1 Cr 1.97
16 N 0.9508 0.0492 0.2500  2 Cr 2.05

5.
The following is a DFT calculation (GGA-PBE) of crystalline Pa2CrWN5 at its relaxed geometry.

Summary:
Density of states at the Fermi level   0.44 states/eV/atom
Symmetry   No. 36

Unit cell a=6.6645 b=6.6645 c=10.1595 alpha=90.00 beta=90.00 gamma=152.18
Closest atoms and distances in Å follow each position.
Fractional coordinates of all 18 atoms:
1 Pa 0.1048 0.8952 0.5000  6 N 2.28-2.47
2 Pa 0.1444 0.8556 0.1313  7 N 2.35-2.50
3 Pa 0.8556 0.1444 0.6313  7 N 2.35-2.50
4 Pa 0.8952 0.1048 0.0000  6 N 2.28-2.47
5 Cr 0.4607 0.5393 0.2787  4 N 1.92-2.03
6 Cr 0.5393 0.4607 0.7787  4 N 1.92-2.03
7 W 0.1968 0.8032 0.8321  6 N 1.99-2.21
8 W 0.8032 0.1968 0.3321  6 N 1.99-2.21
9 N 0.0506 0.9494 0.8941  2 Cr 1.99, 1 W 1.99
10 N 0.2822 0.7178 0.4790  2 W 2.21, 3 Pa 2.31-2.42
11 N 0.3195 0.6805 0.1920  1 Cr 2.03, 2 W 2.15
12 N 0.3676 0.6324 0.8189  1 W 2.21, 1 Cr 2.26, 2 Pa 2.47
13 N 0.4899 0.5101 0.6008  1 Cr 1.92
14 N 0.5101 0.4899 0.1008  1 Cr 1.92
15 N 0.6324 0.3676 0.3189  1 W 2.21, 1 Cr 2.26, 2 Pa 2.47
16 N 0.6805 0.3195 0.6920  1 Cr 2.03, 2 W 2.15
17 N 0.7178 0.2822 0.9790  2 W 2.21, 3 Pa 2.31-2.42
18 N 0.9494 0.0506 0.3941  2 Cr 1.99, 1 W 1.99

6.
The following is a DFT calculation (GGA-PBE) of crystalline YPa2CrN5 at its relaxed geometry.

Summary:
Density of states at the Fermi level   0.57 states/eV/atom
Symmetry   No. 36

Unit cell a=7.0175 b=7.0175 c=10.1024 alpha=90.00 beta=90.00 gamma=152.40
Closest atoms and distances in Å follow each position.
Fractional coordinates of all 18 atoms:
1 Y 0.2021 0.7979 0.5000  6 N 2.29-2.43
2 Y 0.7979 0.2021 0.0000  6 N 2.29-2.43
3 Pa 0.1109 0.8891 0.1840  8 N 2.36-2.62
4 Pa 0.1397 0.8603 0.8002  6 N 2.35-2.61
5 Pa 0.8603 0.1397 0.3002  6 N 2.35-2.61
6 Pa 0.8891 0.1109 0.6840  8 N 2.36-2.62
7 Cr 0.4851 0.5149 0.9620  4 N 1.88-2.01
8 Cr 0.5149 0.4851 0.4620  4 N 1.88-2.01
9 N 0.0335 0.9665 0.5419  2 Cr 1.88
10 N 0.2840 0.7160 0.1729  3 Pa 2.35-2.36, 2 Y 2.43
11 N 0.3329 0.6671 0.8449  2 Y 2.34, 1 Cr 2.39, 2 Pa 2.46, 1 N 2.62
12 N 0.3699 0.6301 0.4986  1 Cr 2.01
13 N 0.4811 0.5189 0.2782  1 Cr 1.91
14 N 0.5189 0.4811 0.7782  1 Cr 1.91
15 N 0.6301 0.3699 0.9986  1 Cr 2.01
16 N 0.6671 0.3329 0.3449  2 Y 2.34, 1 Cr 2.39, 2 Pa 2.46, 1 N 2.62
17 N 0.7160 0.2840 0.6729  3 Pa 2.35-2.36, 2 Y 2.43
18 N 0.9665 0.0335 0.0419  2 Cr 1.88

no.,ΔE_f (raw) (kJ/mol of formula units)
1,-718.4
2,-939.8
3,-1084.1
4,-917.7
5,-957.7
6,-1081.0